Ba2SbSe, relaxed, DFT PBE-GGA; D(E_F) = 19.81 states/eV/cell; space group = Fm-3m (225); crystal system = cubic; excess energy over the best structure of this formula in the dataset = 0.238 eV/atom
1.0
8.332 0.000 0.000
0.000 8.332 0.000
0.000 0.000 8.332
Ba Sb Se
8 4 4
direct
0.250 0.250 0.250 Ba
0.250 0.250 0.750 Ba
0.250 0.750 0.250 Ba
0.250 0.750 0.750 Ba
0.750 0.250 0.250 Ba
0.750 0.250 0.750 Ba
0.750 0.750 0.250 Ba
0.750 0.750 0.750 Ba
0.000 0.000 0.000 Sb
0.000 0.500 0.500 Sb
0.500 0.000 0.500 Sb
0.500 0.500 0.000 Sb
0.000 0.000 0.500 Se
0.000 0.500 0.000 Se
0.500 0.000 0.000 Se
0.500 0.500 0.500 Se

Ba2SbSe, relaxed, DFT PBE-GGA; D(E_F) = 9.27 states/eV/cell; space group = Cmcm (63); crystal system = orthorhombic; excess energy over the best structure of this formula in the dataset = 0.000 eV/atom
1.0
4.924 0.000 0.000
0.000 26.443 0.000
0.000 0.000 4.787
Ba Sb Se
8 4 4
direct
0.000 0.066 0.250 Ba
0.000 0.313 0.250 Ba
0.000 0.687 0.750 Ba
0.000 0.934 0.750 Ba
0.500 0.187 0.750 Ba
0.500 0.434 0.750 Ba
0.500 0.566 0.250 Ba
0.500 0.813 0.250 Ba
0.000 0.455 0.250 Sb
0.000 0.545 0.750 Sb
0.500 0.045 0.750 Sb
0.500 0.955 0.250 Sb
0.000 0.189 0.250 Se
0.000 0.811 0.750 Se
0.500 0.311 0.750 Se
0.500 0.689 0.250 Se

BaSb2Se, relaxed, DFT PBE-GGA; D(E_F) = 5.05 states/eV/cell; space group = Immm (71); crystal system = orthorhombic
1.0
4.484 0.000 0.000
0.000 4.499 0.000
0.000 0.000 12.560
Ba Sb Se
2 4 2
direct
0.000 0.000 0.000 Ba
0.500 0.500 0.500 Ba
0.000 0.500 0.249 Sb
0.000 0.500 0.751 Sb
0.500 0.000 0.251 Sb
0.500 0.000 0.749 Sb
0.000 0.000 0.500 Se
0.500 0.500 0.000 Se

BaSb2Se2, relaxed, DFT PBE-GGA; D(E_F) = 4.06 states/eV/cell; space group = P4/mbm (127); crystal system = tetragonal; excess energy over the best structure of this formula in the dataset = 0.097 eV/atom
1.0
8.798 0.000 0.000
0.000 8.798 0.000
0.000 0.000 4.283
Ba Sb Se
2 4 4
direct
0.000 0.000 0.000 Ba
0.500 0.500 0.000 Ba
0.128 0.372 0.000 Sb
0.372 0.872 0.000 Sb
0.628 0.128 0.000 Sb
0.872 0.628 0.000 Sb
0.234 0.734 0.500 Se
0.266 0.234 0.500 Se
0.734 0.766 0.500 Se
0.766 0.266 0.500 Se

Ba2SbSe, relaxed, DFT PBE-GGA; D(E_F) = 22.15 states/eV/cell; space group = I-42d (122); crystal system = tetragonal; excess energy over the best structure of this formula in the dataset = 0.279 eV/atom
1.0
8.866 0.000 0.000
0.000 8.866 0.000
0.000 0.000 8.573
Ba Sb Se
8 4 4
direct
0.225 0.250 0.125 Ba
0.250 0.725 0.375 Ba
0.250 0.775 0.875 Ba
0.275 0.250 0.625 Ba
0.725 0.750 0.625 Ba
0.750 0.225 0.875 Ba
0.750 0.275 0.375 Ba
0.775 0.750 0.125 Ba
0.000 0.000 0.500 Sb
0.000 0.500 0.750 Sb
0.500 0.000 0.250 Sb
0.500 0.500 0.000 Sb
0.000 0.000 0.000 Se
0.000 0.500 0.250 Se
0.500 0.000 0.750 Se
0.500 0.500 0.500 Se

BaSbSe3, relaxed, DFT PBE-GGA; D(E_F) = 3.59 states/eV/cell; space group = Pm-3m (221); crystal system = cubic
1.0
5.393 0.000 0.000
0.000 5.393 0.000
0.000 0.000 5.393
Ba Sb Se
1 1 3
direct
0.000 0.000 0.000 Ba
0.500 0.500 0.500 Sb
0.000 0.500 0.500 Se
0.500 0.000 0.500 Se
0.500 0.500 0.000 Se

Ba4SbSe2, relaxed, DFT PBE-GGA; D(E_F) = 6.57 states/eV/cell; space group = I4_1/amd (141); crystal system = tetragonal
1.0
-5.333 5.333 5.214
5.333 -5.333 5.214
5.333 5.333 -5.214
Ba Sb Se
8 2 4
direct
0.197 0.264 0.567 Ba
0.197 0.631 0.933 Ba
0.264 0.197 0.067 Ba
0.369 0.803 0.567 Ba
0.631 0.197 0.433 Ba
0.736 0.803 0.933 Ba
0.803 0.369 0.067 Ba
0.803 0.736 0.433 Ba
0.125 0.875 0.250 Sb
0.875 0.125 0.750 Sb
0.000 0.500 0.500 Se
0.500 0.000 0.000 Se
0.500 0.500 0.000 Se
0.500 0.500 0.500 Se

BaSbSe4, relaxed, DFT PBE-GGA; D(E_F) = 5.26 states/eV/cell; space group = F-43m (216); crystal system = cubic; excess energy over the best structure of this formula in the dataset = 0.567 eV/atom
1.0
0.000 4.259 4.259
4.259 0.000 4.259
4.259 4.259 0.000
Ba Sb Se
1 1 4
direct
0.000 0.000 0.000 Ba
0.750 0.750 0.750 Sb
0.376 0.376 0.376 Se
0.376 0.376 0.873 Se
0.376 0.873 0.376 Se
0.873 0.376 0.376 Se

BaSb2Se, relaxed, DFT PBE-GGA; D(E_F) = 0.11 states/eV/cell; space group = Pm (6); crystal system = monoclinic
1.0
4.647 0.000 0.000
0.000 4.552 0.000
-2.097 0.000 6.526
Ba Sb Se
1 2 1
direct
0.000 0.000 0.000 Ba
0.348 0.500 0.501 Sb
0.720 0.000 0.449 Sb
0.462 0.500 0.905 Se

Ba2SbSe, relaxed, DFT PBE-GGA; D(E_F) = 2.58 states/eV/cell; space group = Imm2 (44); crystal system = orthorhombic; excess energy over the best structure of this formula in the dataset = 0.112 eV/atom
1.0
4.162 0.000 0.000
0.000 4.384 0.000
0.000 0.000 17.600
Ba Sb Se
4 2 2
direct
0.000 0.000 0.000 Ba
0.000 0.500 0.227 Ba
0.500 0.000 0.727 Ba
0.500 0.500 0.500 Ba
0.000 0.500 0.838 Sb
0.500 0.000 0.338 Sb
0.000 0.000 0.580 Se
0.500 0.500 0.080 Se

BaSb2Se2, relaxed, DFT PBE-GGA; D(E_F) = 4.77 states/eV/cell; space group = I4/mmm (139); crystal system = tetragonal; excess energy over the best structure of this formula in the dataset = 0.002 eV/atom
1.0
4.359 0.000 0.000
0.000 4.359 0.000
0.000 0.000 16.552
Ba Sb Se
2 4 4
direct
0.000 0.000 0.000 Ba
0.500 0.500 0.500 Ba
0.000 0.500 0.250 Sb
0.000 0.500 0.750 Sb
0.500 0.000 0.250 Sb
0.500 0.000 0.750 Sb
0.000 0.000 0.421 Se
0.000 0.000 0.579 Se
0.500 0.500 0.079 Se
0.500 0.500 0.921 Se

Ba3SbSe, relaxed, DFT PBE-GGA; D(E_F) = 3.54 states/eV/cell; space group = Pm-3m (221); crystal system = cubic; excess energy over the best structure of this formula in the dataset = 0.000 eV/atom
1.0
6.136 0.000 0.000
0.000 6.136 0.000
0.000 0.000 6.136
Ba Sb Se
3 1 1
direct
0.000 0.000 0.500 Ba
0.000 0.500 0.000 Ba
0.500 0.000 0.000 Ba
0.500 0.500 0.500 Sb
0.000 0.000 0.000 Se

Ba2SbSe, relaxed, DFT PBE-GGA; D(E_F) = 9.08 states/eV/cell; space group = Amm2 (38); crystal system = orthorhombic; excess energy over the best structure of this formula in the dataset = 0.166 eV/atom
1.0
5.498 0.000 0.000
0.000 4.227 0.000
0.000 0.000 13.170
Ba Sb Se
4 2 2
direct
0.000 0.000 0.000 Ba
0.000 0.500 0.500 Ba
0.500 0.000 0.246 Ba
0.500 0.500 0.746 Ba
0.500 0.000 0.511 Sb
0.500 0.500 0.011 Sb
0.000 0.000 0.749 Se
0.000 0.500 0.249 Se

Ba4SbSe, relaxed, DFT PBE-GGA; D(E_F) = 4.40 states/eV/cell; space group = F-43m (216); crystal system = cubic
1.0
0.000 4.952 4.952
4.952 0.000 4.952
4.952 4.952 0.000
Ba Sb Se
4 1 1
direct
0.125 0.125 0.125 Ba
0.125 0.125 0.626 Ba
0.125 0.626 0.125 Ba
0.626 0.125 0.125 Ba
0.750 0.750 0.750 Sb
0.500 0.500 0.500 Se

BaSb2Se, relaxed, DFT PBE-GGA; D(E_F) = 4.79 states/eV/cell; space group = Imm2 (44); crystal system = orthorhombic
1.0
4.341 0.000 0.000
0.000 6.048 0.000
0.000 0.000 9.691
Ba Sb Se
2 4 2
direct
0.000 0.000 0.000 Ba
0.500 0.500 0.500 Ba
0.000 0.000 0.494 Sb
0.000 0.500 0.787 Sb
0.500 0.000 0.287 Sb
0.500 0.500 0.994 Sb
0.000 0.500 0.218 Se
0.500 0.000 0.718 Se

Ba2SbSe2, relaxed, DFT PBE-GGA; D(E_F) = 4.62 states/eV/cell; space group = P4/mbm (127); crystal system = tetragonal; excess energy over the best structure of this formula in the dataset = 0.000 eV/atom
1.0
8.622 0.000 0.000
0.000 8.622 0.000
0.000 0.000 4.467
Ba Sb Se
4 2 4
direct
0.159 0.341 0.000 Ba
0.341 0.841 0.000 Ba
0.659 0.159 0.000 Ba
0.841 0.659 0.000 Ba
0.000 0.000 0.500 Sb
0.500 0.500 0.500 Sb
0.155 0.655 0.500 Se
0.345 0.155 0.500 Se
0.655 0.845 0.500 Se
0.845 0.345 0.500 Se

BaSb2Se, relaxed, DFT PBE-GGA; space group = R3m (160); crystal system = trigonal
1.0
4.543 0.000 0.000
-2.272 3.935 0.000
0.000 0.000 23.283
Ba Sb Se
3 6 3
direct
0.000 0.000 0.000 Ba
0.333 0.667 0.667 Ba
0.667 0.333 0.333 Ba
0.000 0.000 0.507 Sb
0.000 0.000 0.775 Sb
0.333 0.667 0.174 Sb
0.333 0.667 0.442 Sb
0.667 0.333 0.108 Sb
0.667 0.333 0.841 Sb
0.000 0.000 0.256 Se
0.333 0.667 0.923 Se
0.667 0.333 0.590 Se

Ba3SbSe6, relaxed, DFT PBE-GGA; D(E_F) = 6.13 states/eV/cell; space group = P2_1/c (14); crystal system = monoclinic
1.0
8.529 0.000 0.000
0.000 8.091 0.000
-5.768 0.000 9.873
Ba Sb Se
6 2 12
direct
0.000 0.000 0.000 Ba
0.000 0.500 0.500 Ba
0.244 0.035 0.735 Ba
0.244 0.465 0.235 Ba
0.756 0.535 0.765 Ba
0.756 0.965 0.265 Ba
0.500 0.000 0.500 Sb
0.500 0.500 0.000 Sb
0.152 0.171 0.407 Se
0.152 0.329 0.907 Se
0.347 0.702 0.517 Se
0.347 0.798 0.017 Se
0.376 0.643 0.749 Se
0.376 0.857 0.249 Se
0.624 0.143 0.751 Se
0.624 0.357 0.251 Se
0.653 0.202 0.983 Se
0.653 0.298 0.483 Se
0.848 0.671 0.093 Se
0.848 0.829 0.593 Se

BaSb2Se2, relaxed, DFT PBE-GGA; D(E_F) = 0.84 states/eV/cell; space group = P4/mbm (127); crystal system = tetragonal; excess energy over the best structure of this formula in the dataset = 0.000 eV/atom
1.0
8.851 0.000 0.000
0.000 8.851 0.000
0.000 0.000 4.118
Ba Sb Se
2 4 4
direct
0.000 0.000 0.000 Ba
0.500 0.500 0.000 Ba
0.210 0.290 0.500 Sb
0.290 0.790 0.500 Sb
0.710 0.210 0.500 Sb
0.790 0.710 0.500 Sb
0.149 0.649 0.000 Se
0.351 0.149 0.000 Se
0.649 0.851 0.000 Se
0.851 0.351 0.000 Se

Ba2SbSe, relaxed, DFT PBE-GGA; D(E_F) = 5.11 states/eV/cell; space group = C2/m (12); crystal system = monoclinic; excess energy over the best structure of this formula in the dataset = 0.049 eV/atom
1.0
8.079 0.000 0.000
0.000 4.708 0.000
-2.737 0.000 8.587
Ba Sb Se
4 2 2
direct
0.243 0.000 0.226 Ba
0.257 0.500 0.774 Ba
0.743 0.500 0.226 Ba
0.757 0.000 0.774 Ba
0.000 0.000 0.500 Sb
0.500 0.500 0.500 Sb
0.000 0.500 0.000 Se
0.500 0.000 0.000 Se

Ba2SbSe4, relaxed, DFT PBE-GGA; D(E_F) = 5.24 states/eV/cell; space group = C2/m (12); crystal system = monoclinic
1.0
12.124 0.000 0.000
0.000 4.387 0.000
-3.532 0.000 8.085
Ba Sb Se
4 2 8
direct
0.169 0.000 0.170 Ba
0.331 0.500 0.830 Ba
0.669 0.500 0.170 Ba
0.831 0.000 0.830 Ba
0.000 0.500 0.500 Sb
0.500 0.000 0.500 Sb
0.051 0.500 0.846 Se
0.162 0.000 0.536 Se
0.338 0.500 0.464 Se
0.449 0.000 0.154 Se
0.551 0.000 0.846 Se
0.662 0.500 0.536 Se
0.838 0.000 0.464 Se
0.949 0.500 0.154 Se

BaSb2Se2, relaxed, DFT PBE-GGA; D(E_F) = 13.00 states/eV/cell; space group = I4/mmm (139); crystal system = tetragonal; excess energy over the best structure of this formula in the dataset = 0.122 eV/atom
1.0
5.770 0.000 0.000
0.000 5.770 0.000
0.000 0.000 9.664
Ba Sb Se
2 4 4
direct
0.000 0.000 0.000 Ba
0.500 0.500 0.500 Ba
0.000 0.000 0.355 Sb
0.000 0.000 0.645 Sb
0.500 0.500 0.145 Sb
0.500 0.500 0.855 Sb
0.000 0.500 0.250 Se
0.000 0.500 0.750 Se
0.500 0.000 0.250 Se
0.500 0.000 0.750 Se

Ba2SbSe, relaxed, DFT PBE-GGA; D(E_F) = 1.30 states/eV/cell; space group = P4/mmm (123); crystal system = tetragonal; excess energy over the best structure of this formula in the dataset = 0.071 eV/atom
1.0
4.005 0.000 0.000
0.000 4.005 0.000
0.000 0.000 8.723
Ba Sb Se
2 1 1
direct
0.000 0.000 0.227 Ba
0.000 0.000 0.773 Ba
0.500 0.500 0.500 Sb
0.500 0.500 0.000 Se

BaSb2Se, relaxed, DFT PBE-GGA; D(E_F) = 2.78 states/eV/cell; space group = R-3m (166); crystal system = trigonal
1.0
4.486 0.000 0.000
-2.243 3.885 0.000
0.000 0.000 23.820
Ba Sb Se
3 6 3
direct
0.000 0.000 0.000 Ba
0.333 0.667 0.667 Ba
0.667 0.333 0.333 Ba
0.000 0.000 0.230 Sb
0.000 0.000 0.770 Sb
0.333 0.667 0.437 Sb
0.333 0.667 0.897 Sb
0.667 0.333 0.103 Sb
0.667 0.333 0.563 Sb
0.000 0.000 0.500 Se
0.333 0.667 0.167 Se
0.667 0.333 0.833 Se

BaSb3Se, relaxed, DFT PBE-GGA; D(E_F) = 4.48 states/eV/cell; space group = Pm-3m (221); crystal system = cubic; excess energy over the best structure of this formula in the dataset = 0.000 eV/atom
1.0
5.553 0.000 0.000
0.000 5.553 0.000
0.000 0.000 5.553
Ba Sb Se
1 3 1
direct
0.000 0.000 0.000 Ba
0.000 0.500 0.500 Sb
0.500 0.000 0.500 Sb
0.500 0.500 0.000 Sb
0.500 0.500 0.500 Se

| no. | total DFT energy (no corrections) (eV per atom) | uncorrected formation energy (kcal/mol of atoms) |
| --- | --- | --- |
| 1 | -4.042 | -27.176 |
| 2 | -4.279 | -32.662 |
| 3 | -4.047 | -14.616 |
| 4 | -3.935 | -11.718 |
| 5 | -4.001 | -26.239 |
| 6 | -4.094 | -18.308 |
| 7 | -4.155 | -33.942 |
| 8 | -3.447 | -2.685 |
| 9 | -4.270 | -19.753 |
| 10 | -4.167 | -30.080 |
| 11 | -4.030 | -13.901 |
| 12 | -3.680 | -23.168 |
| 13 | -4.113 | -28.825 |
| 14 | -2.695 | -3.355 |
| 15 | -3.986 | -13.209 |
| 16 | -4.284 | -29.901 |
| 17 | -4.178 | -17.649 |
| 18 | -4.253 | -27.045 |
| 19 | -4.032 | -13.946 |
| 20 | -4.230 | -31.522 |
| 21 | -4.326 | -27.596 |
| 22 | -3.910 | -11.125 |
| 23 | -4.208 | -31.014 |
| 24 | -3.559 | -3.365 |
| 25 | -3.666 | -2.554 |